VASP calculation (PBE-GGA) on LiZnW2 after structural relaxation.

Summary:
The value obtained for the total magnetization is 0.0 μB per cell. Its total energy is -6.891 eV per atom. The calculated volume comes out at 14.9 Å³/atom. The calculation puts the density of states at the Fermi level at 0.29 states/eV per atom. For the formation energy, the calculation gives 0.383 eV per atom.

Cell lengths 3.706, 3.706, 4.335 Å; angles 90.00, 90.00, 90.00 degrees
Space group P4/mmm (No. 123)
One atom of each set of equivalent atoms:
Li  0.000  0.000  0.000 (multiplicity 1)
Zn  0.500  0.500  0.000 (multiplicity 1)
W  0.000  0.500  0.500 (multiplicity 2)


VASP calculation (PBE-GGA) on LiZnW2 after structural relaxation.

Summary:
The value obtained for the total magnetization is 0.0 μB per cell. Its total energy is -6.957 eV per atom. The calculated volume comes out at 15.3 Å³/atom. The calculation puts the density of states at the Fermi level at 0.63 states/eV per atom. For the formation energy, the calculation gives 0.317 eV per atom.

Cell lengths 2.670, 2.670, 8.586 Å; angles 90.00, 90.00, 90.00 degrees
Space group P4mm (No. 99)
One atom of each set of equivalent atoms:
Li  0.000  0.000  0.000 (multiplicity 1)
Zn  0.500  0.500  0.772 (multiplicity 1)
W  0.000  0.000  0.528 (multiplicity 1)
W  0.500  0.500  0.260 (multiplicity 1)


VASP calculation (PBE-GGA) on LiZn2W after structural relaxation.

Summary:
The value obtained for the total magnetization is 8.2 μB per cell. As for the offset from the most stable computed form: 0.493 eV per atom. Its total energy is -3.786 eV per atom. The calculated volume comes out at 14.4 Å³/atom. The calculation puts the density of states at the Fermi level at 0.56 states/eV per atom. For the formation energy, the calculation gives 0.568 eV per atom.

Cell lengths 6.135, 6.135, 6.135 Å; angles 90.00, 90.00, 90.00 degrees
Space group F-43m (No. 216)
One atom of each set of equivalent atoms:
Li  0.000  0.000  0.000 (multiplicity 4)
Zn  0.000  0.000  0.500 (multiplicity 4)
Zn  0.250  0.250  0.250 (multiplicity 4)
W  0.250  0.250  0.750 (multiplicity 4)


VASP calculation (PBE-GGA) on LiZn2W after structural relaxation.

Summary:
The value obtained for the total magnetization is 0.0 μB per cell. As for the offset from the most stable computed form: 0.000 eV per atom. Its total energy is -4.279 eV per atom. The calculated volume comes out at 14.2 Å³/atom. The calculation puts the density of states at the Fermi level at 0.37 states/eV per atom. For the formation energy, the calculation gives 0.075 eV per atom.

Cell lengths 2.778, 2.778, 7.344 Å; angles 90.00, 90.00, 90.00 degrees
Space group P4/mmm (No. 123)
One atom of each set of equivalent atoms:
Li  0.000  0.000  0.000 (multiplicity 1)
Zn  0.500  0.500  0.230 (multiplicity 2)
W  0.000  0.000  0.500 (multiplicity 1)


> Look up the calculated volume of the second one.

15.3 Å³/atom


> Number 4 is which compound?

LiZn2W


> Among the records above, which one has the lowest calculated volume?

number 4